# 1
{"formula": "CaTlBr2", "functional": "PBE", "state": "relaxed", "lattice_angstrom": [[3.779, -4.581, 0.000], [3.779, 4.581, 0.000], [-1.838, 0.000, 3.793]], "species": ["Ca", "Tl", "Br", "Br"], "frac_coords": [[0.000, 0.000, 0.000], [0.500, 0.500, 0.000], [0.000, 0.500, 0.500], [0.500, 0.000, 0.500]], "polymorph_energy_mev_per_atom": 350, "sg": "C2/m (12)", "volume_a3_per_cell": 131.3, "dft_energy_ev_per_cell": -11.7, "formation_energy_uncorrected_ev_per_atom": -0.99}

***

# 2
{"formula": "Si2AsAu", "functional": "PBE", "state": "relaxed", "lattice_angstrom": [[-2.162, 2.162, 3.725], [2.162, -2.162, 3.725], [2.162, 2.162, -3.725]], "species": ["Si", "Si", "As", "Au"], "frac_coords": [[0.000, 0.000, 0.000], [0.750, 0.250, 0.500], [0.250, 0.750, 0.500], [0.500, 0.500, 0.000]], "sg": "I-4m2 (119)", "volume_a3_per_cell": 69.6, "dft_energy_ev_per_cell": -16.8, "formation_energy_uncorrected_ev_per_atom": 0.50}

***

# 3
{"formula": "Ta3Ir2Pt2", "functional": "PBE", "state": "relaxed", "lattice_angstrom": [[2.044, -9.811, 0.000], [2.044, 9.811, 0.000], [0.000, 0.000, 2.863]], "species": ["Ta", "Ta", "Ta", "Ir", "Ir", "Pt", "Pt"], "frac_coords": [[0.000, 0.000, 0.000], [0.155, 0.845, 0.000], [0.845, 0.155, 0.000], [0.292, 0.708, 0.500], [0.708, 0.292, 0.500], [0.430, 0.570, 0.500], [0.570, 0.430, 0.500]], "sg": "Cmmm (65)", "volume_a3_per_cell": 114.8, "dft_energy_ev_per_cell": -69.1, "delta_e_f_kj_per_mol_atoms": -50.9}

***

# 4
{"formula": "PrErN", "functional": "PBE", "state": "relaxed", "lattice_angstrom": [[1.990, -6.061, 0.000], [1.990, 6.061, 0.000], [0.000, 0.000, 7.648]], "species": ["Pr", "Pr", "Er", "Er", "N", "N"], "frac_coords": [[0.237, 0.763, 0.750], [0.763, 0.237, 0.250], [0.500, 0.500, 0.000], [0.500, 0.500, 0.500], [0.414, 0.586, 0.750], [0.586, 0.414, 0.250]], "polymorph_energy_mev_per_atom": 558, "sg": "Cmcm (63)", "volume_a3_per_cell": 184.5, "dft_energy_ev_per_cell": -37.6, "formation_energy_uncorrected_ev_per_atom": -0.38}

***

# 5
{"formula": "La2Al", "functional": "PBE", "state": "relaxed", "lattice_angstrom": [[-1.962, 2.929, 4.255], [1.962, -2.929, 4.255], [1.962, 2.929, -4.255]], "species": ["La", "La", "Al"], "frac_coords": [[0.212, 0.212, 0.000], [0.788, 0.788, 0.000], [0.500, 0.000, 0.500]], "sg": "Immm (71)", "volume_a3_per_cell": 97.8, "dft_energy_ev_per_cell": -13.7, "delta_e_f_kj_per_mol_atoms": -3.1}

***

# 6
{"formula": "ErMgCdNi", "functional": "PBE", "state": "relaxed", "lattice_angstrom": [[0.000, 3.413, 3.413], [3.413, 0.000, 3.413], [3.413, 3.413, 0.000]], "species": ["Er", "Mg", "Cd", "Ni"], "frac_coords": [[0.000, 0.000, 0.000], [0.500, 0.500, 0.500], [0.750, 0.750, 0.750], [0.250, 0.250, 0.250]], "sg": "F-43m (216)", "volume_a3_per_cell": 79.5, "dft_energy_ev_per_cell": -13.6, "delta_e_f_kj_per_mol_atoms": -18.9}